Entry 1:
Entry from Alexandria via LeMat-Bulk: Te2WBr after structural relaxation (GGA-PBE).

- Space group: I-42d
- Spin magnetization: 1.0 μB per formula unit
- Energy relative to the lowest polymorph listed for this composition: 0.382 eV/atom
- D(E_F): 0.62 states/eV per atom
- Total energy: -76.394 eV per cell
- Formation energy without anion corrections: 0.4527 eV/atom

a b c (Å): 7.2783 7.2783 10.9104
angles (deg): 90.00 90.00 90.00
With the nearest neighbours (Å) after each atom.
Fractional coordinates of all 16 atoms:
Te 0.1682 0.2500 0.1250  2 W 2.58
Te 0.2500 0.6682 0.3750  2 W 2.58
Te 0.2500 0.8318 0.8750  2 W 2.58
Te 0.3318 0.2500 0.6250  2 W 2.58
Te 0.6682 0.7500 0.6250  2 W 2.58
Te 0.7500 0.1682 0.8750  2 W 2.58
Te 0.7500 0.3318 0.3750  2 W 2.58
Te 0.8318 0.7500 0.1250  2 W 2.58
W 0.0000 0.0000 0.0000  4 Te 2.58
W 0.0000 0.5000 0.2500  4 Te 2.58
W 0.5000 0.0000 0.7500  4 Te 2.58
W 0.5000 0.5000 0.5000  4 Te 2.58
Br 0.0000 0.0000 0.5000  4 Te 3.32
Br 0.0000 0.5000 0.7500  4 Te 3.32
Br 0.5000 0.0000 0.2500  4 Te 3.32
Br 0.5000 0.5000 0.0000  4 Te 3.32

Entry 2:
Entry from Alexandria via LeMat-Bulk: Be2CdTe after structural relaxation (GGA-PBE).

- Space group: P2/m
- Spin magnetization: 0.0 μB per formula unit
- Energy relative to the lowest polymorph listed for this composition: 0.105 eV/atom
- D(E_F): 0.30 states/eV per atom
- Total energy: -9.878 eV per cell
- Formation energy without anion corrections: 0.4078 eV/atom

a b c (Å): 4.0258 3.5981 5.5630
angles (deg): 90.00 90.09 90.00
With the nearest neighbours (Å) after each atom.
Fractional coordinates of all 4 atoms:
Be 0.0009 0.0000 0.1879  1 Be 2.09
Be 0.9991 0.0000 0.8121  1 Be 2.09
Cd 0.5000 0.5000 0.0000  8 Be 2.89-2.90
Te 0.0000 0.5000 0.5000  4 Be 2.50

Entry 3:
Entry from Alexandria via LeMat-Bulk: TiCd2H after structural relaxation (GGA-PBE).

- Space group: I-42d
- Spin magnetization: 0.0 μB per formula unit
- Energy relative to the lowest polymorph listed for this composition: 0.000 eV/atom
- D(E_F): 0.45 states/eV per atom
- Total energy: -47.856 eV per cell

a b c (Å): 8.9613 8.9613 3.4992
angles (deg): 90.00 90.00 90.00
With the nearest neighbours (Å) after each atom.
Fractional coordinates of all 16 atoms:
Ti 0.0000 0.0000 0.0000  2 H 1.75
Ti 0.0000 0.5000 0.2500  2 H 1.75
Ti 0.5000 0.0000 0.7500  2 H 1.75
Ti 0.5000 0.5000 0.5000  2 H 1.75
Cd 0.1228 0.2500 0.6250  2 H 2.53, 2 Ti 2.82
Cd 0.2500 0.6228 0.8750  2 H 2.53, 2 Ti 2.82
Cd 0.2500 0.8772 0.3750  2 H 2.53, 2 Ti 2.82
Cd 0.3772 0.2500 0.1250  2 H 2.53, 2 Ti 2.82
Cd 0.6228 0.7500 0.1250  2 H 2.53, 2 Ti 2.82
Cd 0.7500 0.1228 0.3750  2 H 2.53, 2 Ti 2.82
Cd 0.7500 0.3772 0.8750  2 H 2.53, 2 Ti 2.82
Cd 0.8772 0.7500 0.6250  2 H 2.53, 2 Ti 2.82
H 0.0000 0.0000 0.5000  2 Ti 1.75
H 0.0000 0.5000 0.7500  2 Ti 1.75
H 0.5000 0.0000 0.2500  2 Ti 1.75
H 0.5000 0.5000 0.0000  2 Ti 1.75

> Number 1 is which compound?

Te2WBr

> Which formula does entry 3 have?

TiCd2H

> The highest D(E_F) belongs to which entry?

Te2WBr